# 1
A plane-wave DFT calculation with PBEsol was carried out for an optimized crystal structure of BaBe2AlB.

Computed properties:
M_tot in μB per formula unit: 0.00
Calculated formation energy in eV per atom: 0.65

Structure (POSCAR):
```
BaBe2AlB
1.0
-0.5615 1.7108 3.7265
2.8051 -2.5831 1.6085
3.4072 3.1259 -0.9217
Be Ba B Al
2 1 1 1
Direct
0.5000 0.0000 0.0000
0.0000 0.5000 0.0000
0.5000 0.5000 0.5000
0.0000 0.0000 0.0000
0.0000 0.0000 0.5000
```


# 2
A plane-wave DFT calculation with PBEsol was carried out for an optimized crystal structure of HfTi2Si.

Computed properties:
M_tot in μB per formula unit: 0.00
Uncorrected formation energy in meV per atom: 48

Structure (POSCAR):
```
HfTi2Si
1.0
5.2349 0.0000 0.0000
2.6174 5.2224 0.0000
2.6174 0.0000 5.2224
Ti Si Hf
4 2 2
Direct
0.8750 0.9579 0.5421
0.5829 0.5421 0.0421
0.3750 0.0421 0.4579
0.1671 0.4579 0.9579
0.2500 0.5000 0.5000
0.5000 0.0000 0.0000
0.7500 0.5000 0.5000
0.0000 0.0000 0.0000
```


# 3
A plane-wave DFT calculation with PBEsol was carried out for an optimized crystal structure of Ga4BiAs3.

Computed properties:
M_tot in μB per formula unit: 0.00
Calculated formation energy in eV per atom: -0.18

Structure (POSCAR):
```
Ga4BiAs3
1.0
-1.6697 0.8028 5.5279
5.2009 -1.8814 1.8442
2.0379 5.4595 -0.1774
As Ga Bi
3 4 1
Direct
0.5000 0.0000 0.5000
0.5000 0.5000 0.0000
0.0000 0.5000 0.5000
0.7383 0.7383 0.2617
0.2617 0.7383 0.7383
0.2617 0.2617 0.2617
0.7383 0.2617 0.7383
0.0000 0.0000 0.0000
```


# 4
A plane-wave DFT calculation with PBEsol was carried out for an optimized crystal structure of Ba7Al4Ge9.

Computed properties:
M_tot in μB per formula unit: 0.00
Calculated formation energy in eV per atom: -0.53

Structure (POSCAR):
```
Ba7Al4Ge9
1.0
6.6846 -0.0093 0.0000
-1.1654 6.5822 0.0000
-2.7596 -3.2865 12.7825
Ba Al Ge
7 4 9
Direct
0.6167 0.1677 0.2049
0.0452 0.5452 0.5000
0.5452 0.0452 0.5000
0.1677 0.6167 0.2049
0.6263 0.6263 0.0000
0.9628 0.4118 0.7951
0.4118 0.9628 0.7951
0.5877 0.5877 0.5990
0.9361 0.9361 0.8783
0.9887 0.9887 0.4010
0.0579 0.0579 0.1217
0.8852 0.8852 0.6875
0.2391 0.2391 0.0000
0.8238 0.2106 0.0000
0.6988 0.6988 0.2868
0.5087 0.5087 0.4049
0.1038 0.1038 0.5951
0.2106 0.8238 0.0000
0.4120 0.4120 0.7132
0.1977 0.1977 0.3125
```


# 5
A plane-wave DFT calculation with PBEsol was carried out for an optimized crystal structure of LiCa2La.

Computed properties:
M_tot in μB per formula unit: 0.00
Calculated formation energy in eV per atom: 0.09

Structure (POSCAR):
```
LiCa2La
1.0
-2.1729 1.0855 -2.7764
0.6461 -1.2032 -3.4268
-7.5540 -9.2594 -0.1589
Ca La Li
2 1 1
Direct
0.2544 0.2544 0.2368
0.7456 0.7456 0.7632
0.5000 0.5000 0.5000
0.0000 0.0000 0.0000
```


# 6
A plane-wave DFT calculation with PBEsol was carried out for an optimized crystal structure of BaZn13.

Computed properties:
M_tot in μB per formula unit: 0.00
Calculated formation energy in eV per atom: -0.19

Structure (POSCAR):
```
BaZn13
1.0
8.5678 0.0000 0.0000
4.2839 7.4199 0.0000
4.2839 2.4733 6.9956
Zn Ba
26 2
Direct
0.2013 0.4410 0.5590
0.7013 0.9410 0.2987
0.7013 0.0590 0.9410
0.4410 0.5590 0.2013
0.4410 0.7987 0.5590
0.9410 0.0590 0.2987
0.0590 0.2987 0.9410
0.5590 0.2013 0.4410
0.4410 0.2013 0.7987
0.5590 0.4410 0.7987
0.0590 0.7013 0.2987
0.5590 0.7987 0.2013
0.2013 0.5590 0.7987
0.2987 0.7013 0.9410
0.7013 0.2987 0.0590
0.2987 0.0590 0.7013
0.2013 0.7987 0.4410
0.9410 0.7013 0.0590
0.7987 0.2013 0.5590
0.9410 0.2987 0.7013
0.5000 0.5000 0.5000
0.0590 0.9410 0.7013
0.7987 0.4410 0.2013
0.7987 0.5590 0.4410
0.0000 0.0000 0.0000
0.2987 0.9410 0.0590
0.2500 0.2500 0.2500
0.7500 0.7500 0.7500
```


# 7
A plane-wave DFT calculation with PBEsol was carried out for an optimized crystal structure of Be5Fe.

Computed properties:
M_tot in μB per formula unit: 1.41
Calculated formation energy in eV per atom: -0.09

Structure (POSCAR):
```
Be5Fe
1.0
-3.2847 -2.3654 -0.5727
0.4563 -3.8586 -1.2709
-0.7592 -3.0977 2.5575
Fe Be
1 5
Direct
0.0000 0.0000 0.0000
0.6259 0.6259 0.6259
0.2500 0.2500 0.2500
0.6259 0.6259 0.1222
0.1222 0.6259 0.6259
0.6259 0.1222 0.6259
```


# 8
A plane-wave DFT calculation with PBEsol was carried out for an optimized crystal structure of MnSiAsSe2.

Computed properties:
M_tot in μB per formula unit: 4.40
Uncorrected formation energy in meV per atom: 595

Structure (POSCAR):
```
MnSiAsSe2
1.0
-2.9964 0.6344 -3.5600
3.4334 -1.1588 -3.0964
-1.2967 -4.5784 0.2755
Si Mn Se As
1 1 2 1
Direct
0.0000 0.0000 0.0000
0.5000 0.5000 0.5000
0.0000 0.0000 0.5000
0.0000 0.5000 0.0000
0.5000 0.0000 0.0000
```


Q: Look up the M_tot of the seventh one.
A: 1.41 μB per formula unit